This record from the Alexandria database describes a relaxed structure of RbAlTeN2. The functional is PBE-GGA.

Unit cell a=5.0990 b=5.0990 c=7.4135 alpha=90.00 beta=90.00 gamma=90.00
Site moments in Bohr magnetons follow the coordinates.
Fractional positions:
Te (0.0000, 0.0000, 0.5000)  0.07
Al (0.5000, 0.5000, 0.5000)  0.00
Rb (0.0000, 0.0000, 0.0000)  0.12
N (0.0000, 0.5000, 0.0000)  1.67
N (0.5000, 0.0000, 0.0000)  1.67

Calculated values
Excess energy over the best structure of this formula in the dataset = 1175 meV per atom
Theoretical density = 2.309 Mg/m³
Energy relative to the elements, uncorrected = 2.096 eV/atom

This record from the Alexandria database describes a relaxed structure of RbAlTe2N. The functional is PBE-GGA.

Unit cell a=6.2754 b=6.2754 c=3.4781 alpha=90.00 beta=90.00 gamma=90.00
Fractional positions:
Te (0.0000, 0.5000, 0.0000)
Te (0.5000, 0.0000, 0.0000)
Al (0.0000, 0.0000, 0.0000)
Rb (0.5000, 0.5000, 0.5000)
N (0.0000, 0.0000, 0.5000)

Calculated values
Excess energy over the best structure of this formula in the dataset = 0 meV per atom
Theoretical density = 4.627 Mg/m³
Energy relative to the elements, uncorrected = -0.092 eV/atom

This record from the Alexandria database describes a relaxed structure of RbAlTe2N. The functional is PBE-GGA.

Unit cell a=6.6339 b=6.6339 c=5.3041 alpha=90.00 beta=90.00 gamma=90.00
Site moments in Bohr magnetons follow the coordinates.
Fractional positions:
Te (0.0000, 0.5000, 0.0000)  0.61
Te (0.5000, 0.0000, 0.0000)  0.61
Al (0.5000, 0.5000, 0.5000)  0.00
Rb (0.0000, 0.0000, 0.0000)  0.08
N (0.0000, 0.0000, 0.5000)  1.75

Calculated values
Excess energy over the best structure of this formula in the dataset = 1623 meV per atom
Theoretical density = 2.715 Mg/m³
Energy relative to the elements, uncorrected = 1.531 eV/atom

This record from the Alexandria database describes a relaxed structure of RbAlTeN2. The functional is PBE-GGA.

Unit cell a=4.2210 b=4.2210 c=5.3714 alpha=90.00 beta=90.00 gamma=90.00
Site moments in Bohr magnetons follow the coordinates.
Fractional positions:
Te (0.0000, 0.0000, 0.5000)  0.15
Al (0.0000, 0.0000, 0.0000)  -0.02
Rb (0.5000, 0.5000, 0.5000)  0.00
N (0.0000, 0.5000, 0.0000)  0.99
N (0.5000, 0.0000, 0.0000)  0.99

Calculated values
Excess energy over the best structure of this formula in the dataset = 0 meV per atom
Theoretical density = 4.651 Mg/m³
Energy relative to the elements, uncorrected = 0.922 eV/atom

This record from the Alexandria database describes a relaxed structure of Al2ReN. The functional is PBE-GGA.

Unit cell a=6.1596 b=6.1596 c=5.1200 alpha=53.02 beta=53.02 gamma=90.00
Fractional positions:
Re (0.0000, 0.0000, 0.0000)
Re (0.7500, 0.2500, 0.5000)
Al (0.5365, 0.1250, 0.2500)
Al (0.2135, 0.6250, 0.2500)
Al (0.3750, 0.4635, 0.7500)
Al (0.8750, 0.7865, 0.7500)
N (0.5000, 0.5000, 0.0000)
N (0.2500, 0.7500, 0.5000)

Calculated values
Theoretical density = 8.266 Mg/m³
Energy relative to the elements, uncorrected = 0.163 eV/atom

This record from the Alexandria database describes a relaxed structure of AlReN3. The functional is PBE-GGA.

Unit cell a=3.6596 b=3.6596 c=3.6596 alpha=90.00 beta=90.00 gamma=90.00
Site moments in Bohr magnetons follow the coordinates.
Fractional positions:
Re (0.5000, 0.5000, 0.5000)  1.86
Al (0.0000, 0.0000, 0.0000)  0.01
N (0.0000, 0.5000, 0.0000)  -0.26
N (0.0000, 0.0000, 0.5000)  -0.22
N (0.5000, 0.0000, 0.0000)  -0.21

Calculated values
Theoretical density = 8.646 Mg/m³
Energy relative to the elements, uncorrected = 1.249 eV/atom

This record from the Alexandria database describes a relaxed structure of AlReN. The functional is PBE-GGA.

Unit cell a=2.7555 b=4.5564 c=11.3347 alpha=90.00 beta=90.00 gamma=90.00
Fractional positions:
Re (0.2500, 0.2690, 0.5418)
Re (0.2500, 0.2310, 0.0418)
Re (0.7500, 0.7310, 0.4582)
Re (0.7500, 0.7690, 0.9582)
Al (0.2500, 0.7975, 0.6694)
Al (0.2500, 0.7025, 0.1694)
Al (0.7500, 0.2025, 0.3306)
Al (0.7500, 0.2975, 0.8306)
N (0.2500, 0.6200, 0.8214)
N (0.2500, 0.8800, 0.3214)
N (0.7500, 0.3800, 0.1786)
N (0.7500, 0.1200, 0.6786)

Calculated values
Theoretical density = 10.604 Mg/m³
Energy relative to the elements, uncorrected = -0.205 eV/atom

This record from the Alexandria database describes a relaxed structure of AlRe3N. The functional is PBE-GGA.

Unit cell a=4.0680 b=4.0680 c=4.0680 alpha=90.00 beta=90.00 gamma=90.00
Fractional positions:
Re (0.0000, 0.5000, 0.0000)
Re (0.0000, 0.0000, 0.5000)
Re (0.5000, 0.0000, 0.0000)
Al (0.5000, 0.5000, 0.5000)
N (0.0000, 0.0000, 0.0000)

Calculated values
Excess energy over the best structure of this formula in the dataset = 0 meV per atom
Theoretical density = 14.790 Mg/m³
Energy relative to the elements, uncorrected = 0.233 eV/atom

This record from the Alexandria database describes a relaxed structure of AlReN3. The functional is PBE-GGA.

Unit cell a=3.8906 b=3.8906 c=3.8906 alpha=90.00 beta=90.00 gamma=90.00
Fractional positions:
Re (0.0000, 0.0000, 0.0000)
Al (0.5000, 0.5000, 0.5000)
N (0.0000, 0.5000, 0.0000)
N (0.0000, 0.0000, 0.5000)
N (0.5000, 0.0000, 0.0000)

Calculated values
Theoretical density = 7.196 Mg/m³
Energy relative to the elements, uncorrected = 0.667 eV/atom

This record from the Alexandria database describes a relaxed structure of Al2ReSN. The functional is PBE-GGA.

Unit cell a=4.9158 b=3.1412 c=4.9158 alpha=90.00 beta=90.00 gamma=90.00
Site moments in Bohr magnetons follow the coordinates.
Fractional positions:
Re (0.5000, 0.5000, 0.5000)  0.59
S (0.0000, 0.0000, 0.0000)  0.01
Al (0.0000, 0.0000, 0.5000)  -0.01
Al (0.5000, 0.0000, 0.0000)  -0.01
N (0.0000, 0.5000, 0.0000)  0.02

Calculated values
Theoretical density = 6.262 Mg/m³
Energy relative to the elements, uncorrected = 1.121 eV/atom

This record from the Alexandria database describes a relaxed structure of AlReSeN2. The functional is PBE-GGA.

Unit cell a=3.8493 b=3.8493 c=5.4328 alpha=90.00 beta=90.00 gamma=90.00
Site moments in Bohr magnetons follow the coordinates.
Fractional positions:
Re (0.0000, 0.0000, 0.0000)  -0.06
Al (0.5000, 0.5000, 0.5000)  0.00
Se (0.0000, 0.0000, 0.5000)  0.00
N (0.0000, 0.5000, 0.0000)  0.12
N (0.5000, 0.0000, 0.0000)  0.12

Calculated values
Excess energy over the best structure of this formula in the dataset = 0 meV per atom
Theoretical density = 6.604 Mg/m³
Energy relative to the elements, uncorrected = 0.368 eV/atom

This record from the Alexandria database describes a relaxed structure of AlReSeN2. The functional is PBE-GGA.

Unit cell a=3.7651 b=3.7651 c=4.9749 alpha=90.00 beta=90.00 gamma=90.00
Site moments in Bohr magnetons follow the coordinates.
Fractional positions:
Re (0.5000, 0.5000, 0.5000)  2.42
Al (0.0000, 0.0000, 0.0000)  0.02
Se (0.0000, 0.0000, 0.5000)  -0.04
N (0.0000, 0.5000, 0.0000)  -0.52
N (0.5000, 0.0000, 0.0000)  -0.52

Calculated values
Excess energy over the best structure of this formula in the dataset = 925 meV per atom
Theoretical density = 7.539 Mg/m³
Energy relative to the elements, uncorrected = 1.293 eV/atom

Q: Which formula does entry 8 have?
A: AlRe3N

Q: Among the records above, which one has the highest energy relative to the elements, uncorrected?
A: number 1